BaCdAs2Se at its PBEsol-relaxed geometry. Source: the Alexandria database, functional SCAN.

Unit cell a=5.7950 b=5.7608 c=5.7608 alpha=90.00 beta=90.00 gamma=90.00
Last column: magnetic moment on the atom in μB.
Element x y z (fractional)
As1 0.0000 0.0000 0.5000  0.30
As2 0.0000 0.5000 0.0000  0.30
Se1 0.5000 0.0000 0.0000  0.09
Ba1 0.0000 0.0000 0.0000  -0.02
Cd1 0.5000 0.5000 0.5000  -0.07

Results
Space group: P4/mmm, No. 123
Formation energy from raw total energies in eV/atom: 0.889
Calculated density in g cm⁻³: 4.1
V in Å³/f.u.: 192.3